# 1
This record from Alexandria describes an optimized crystal structure of BaGaSbO6. The functional is PBE. Values from VASP.

Calculated values
Its space-group type is P312, No. 149. The calculation puts the raw formation energy at -13.9 eV per formula unit.

Geometry as Quantum ESPRESSO input:
```
&SYSTEM
  ibrav = 0, nat = 9, ntyp = 4
/
ATOMIC_SPECIES
O 16.00 O.upf
Sb 121.76 Sb.upf
Ba 137.33 Ba.upf
Ga 69.72 Ga.upf
ATOMIC_POSITIONS angstrom
O -3.252 -4.556 -3.998
O -2.383 -7.282 -1.238
O -3.766 -4.774 -0.992
O -4.470 -6.603 -3.095
O -1.379 -4.453 -1.820
O -1.450 -6.749 -3.548
Sb -2.783 -5.736 -2.448
Ba -6.459 -4.414 -0.833
Ga -2.361 -3.488 -0.361
CELL_PARAMETERS angstrom
-2.580 -1.935 -4.286
1.314 -4.811 -1.976
-3.879 -2.479 3.454
```

# 2
This record from Alexandria describes an optimized crystal structure of NaLaSeI. The functional is PBE. Values from VASP.

Calculated values
Its space-group type is R3m, No. 160. The calculation puts the raw formation energy at -5.7 eV per formula unit.

Geometry as Quantum ESPRESSO input:
```
&SYSTEM
  ibrav = 0, nat = 4, ntyp = 4
/
ATOMIC_SPECIES
Se 78.96 Se.upf
La 138.91 La.upf
Na 22.99 Na.upf
I 126.90 I.upf
ATOMIC_POSITIONS angstrom
Se -0.854 -7.179 -0.054
La 0.168 -4.935 1.707
Na -3.242 -1.056 -1.892
I -1.265 -2.199 3.071
CELL_PARAMETERS angstrom
-0.457 1.062 4.128
-3.462 -0.589 -2.458
1.369 -8.208 0.036
```

# 3
This record from Alexandria describes an optimized crystal structure of SrRh4Pb. The functional is PBE. Values from VASP.

Calculated values
Its formation enthalpy at 0 K is -10 kJ/mol of atoms. Its space-group type is F-43m, No. 216.

Geometry as Quantum ESPRESSO input:
```
&SYSTEM
  ibrav = 0, nat = 6, ntyp = 3
/
ATOMIC_SPECIES
Rh 102.91 Rh.upf
Pb 207.20 Pb.upf
Sr 87.62 Sr.upf
ATOMIC_POSITIONS angstrom
Rh 0.336 -4.763 1.350
Rh 2.043 -6.843 1.752
Rh -0.137 -6.544 3.353
Rh -0.448 -7.301 0.757
Pb 0.000 0.000 0.000
Sr 0.673 -9.544 2.705
CELL_PARAMETERS angstrom
3.396 -4.137 0.800
-0.940 -3.541 3.984
-1.559 -5.047 -1.178
```

# 4
This record from Alexandria describes an optimized crystal structure of TiRe2BAu. The functional is PBE. Values from VASP.

Calculated values
Its formation enthalpy at 0 K is 290 kJ/mol of atoms. Its space-group type is P4/mmm, No. 123.

Geometry as Quantum ESPRESSO input:
```
&SYSTEM
  ibrav = 0, nat = 5, ntyp = 4
/
ATOMIC_SPECIES
Ti 47.87 Ti.upf
Re 186.21 Re.upf
Au 196.97 Au.upf
B 10.81 B.upf
ATOMIC_POSITIONS angstrom
Ti 1.232 -1.214 -1.625
Re -2.052 -0.540 -1.151
Re -0.219 -2.003 1.329
Au 0.000 0.000 0.000
B -1.039 -3.756 -1.447
CELL_PARAMETERS angstrom
-4.103 -1.080 -2.303
2.463 -2.427 -3.251
-0.438 -4.005 2.659
```

# 5
This record from Alexandria describes an optimized crystal structure of SnIO6. The functional is PBE. Values from VASP.

Calculated values
Its space-group type is C2/m, No. 12. The calculation puts the raw formation energy at -3.2 eV per formula unit.

Geometry as Quantum ESPRESSO input:
```
&SYSTEM
  ibrav = 0, nat = 8, ntyp = 3
/
ATOMIC_SPECIES
O 16.00 O.upf
Sn 118.71 Sn.upf
I 126.90 I.upf
ATOMIC_POSITIONS angstrom
O -6.970 -2.001 1.918
O -6.061 0.200 3.372
O -5.439 2.045 0.380
O -3.401 1.838 2.109
O -4.310 -0.363 0.655
O -1.928 0.760 0.156
Sn 0.000 0.000 0.000
I -3.684 1.402 0.268
CELL_PARAMETERS angstrom
-2.642 3.788 1.853
-4.725 -0.983 -1.317
-3.004 -2.968 3.491
```

# 6
This record from Alexandria describes an optimized crystal structure of ZrTaBr4. The functional is PBE. Values from VASP.

Calculated values
Its space-group type is F-43m, No. 216. The calculation puts the raw formation energy at 7.2 eV per formula unit.

Geometry as Quantum ESPRESSO input:
```
&SYSTEM
  ibrav = 0, nat = 6, ntyp = 3
/
ATOMIC_SPECIES
Ta 180.95 Ta.upf
Br 79.90 Br.upf
Zr 91.22 Zr.upf
ATOMIC_POSITIONS angstrom
Ta 6.324 6.324 6.324
Br 3.160 5.272 5.272
Br 5.272 5.272 3.160
Br 3.160 3.160 3.160
Br 5.272 3.160 5.272
Zr 0.000 0.000 0.000
CELL_PARAMETERS angstrom
0.000 4.216 4.216
4.216 0.000 4.216
4.216 4.216 0.000
```

Asked for DOS(E_F) across the records above, the calculation gives 6.27, 0.14, 10.91, 7.70, 4.71, 10.21 states/eV/f.u. in order.
Asked for V across the records above, the calculation gives 143, 126, 112, 111, 117, 150 Å³ per cell in order.
Asked for raw total energy across the records above, the calculation gives -5.856, -4.253, -5.902, -5.545, -4.811, -3.312 eV/atom in order.